Entry i
A relaxed structure of Ga2CoBr. Source: Alexandria via LeMat-Bulk, functional GGA-PBE.

Size of the total moment = 1.841 μB per formula unit
Fermi-level density of states = 0.66 states/eV/atom

POSCAR file:
```
Ga2CoBr
1.0
0.000 3.501 3.501
3.501 0.000 3.501
3.501 3.501 0.000
Co Ga Br
1 2 1
Cartesian
0.000 0.000 0.000
1.750 1.750 1.750
5.251 5.251 5.251
3.501 3.501 3.501
```

***

Entry ii
A relaxed structure of Ga2CoBr. Source: Alexandria via LeMat-Bulk, functional GGA-PBE.

Size of the total moment = 0.227 μB per formula unit
Fermi-level density of states = 0.59 states/eV/atom

POSCAR file:
```
Ga2CoBr
1.0
5.977 0.000 0.000
0.000 5.977 0.000
2.988 2.988 5.745
Co Ga Br
2 4 2
Cartesian
2.988 2.988 0.000
2.988 5.977 2.873
3.974 1.494 1.436
2.003 4.483 1.436
4.483 4.991 4.309
7.471 6.962 4.309
0.000 0.000 0.000
5.977 2.988 2.873
```

***

Stability summary - winner: entry ii; margin: 0.371 eV/atom.

***

Entry i
A relaxed structure of GaCo2Br. Source: Alexandria via LeMat-Bulk, functional GGA-PBE.

Size of the total moment = 2.031 μB per formula unit
Fermi-level density of states = 1.11 states/eV/atom

POSCAR file:
```
GaCo2Br
1.0
-2.732 0.057 -4.372
3.885 -2.336 -2.458
-1.710 -6.373 -2.055
Co Ga Br
4 2 2
Cartesian
-1.653 -1.849 -3.560
1.662 -3.046 -2.591
-0.856 -5.631 -4.100
-0.269 -6.776 -7.521
0.576 -1.139 -3.415
1.375 -4.924 -3.964
0.000 0.000 0.000
-1.933 -3.727 -4.921
```

***

Entry ii
A relaxed structure of GaCo2Br. Source: Alexandria via LeMat-Bulk, functional GGA-PBE.

Size of the total moment = 1.964 μB per formula unit
Fermi-level density of states = 0.80 states/eV/atom

POSCAR file:
```
GaCo2Br
1.0
0.000 3.053 3.053
3.053 0.000 3.053
3.053 3.053 0.000
Co Ga Br
2 1 1
Cartesian
1.526 1.526 1.526
4.579 4.579 4.579
0.000 0.000 0.000
3.053 3.053 3.053
```

***

Stability summary - winner: entry ii; margin: 0.030 eV/atom.